Er2Tm5Sc12: optimized geometry, PBE-GGA.

The calculation puts the formation energy at 0.1319 eV per atom. As for the density of states at the Fermi level: 28.1 states/eV/f.u. The symmetry is C2/m, No. 12.

Lattice parameters (Å, degrees): 8.620 8.468 8.184 92.58 90.00 120.60
Fractional positions:
1 Sc 0.819 0.259 0.667
2 Sc 0.931 0.861 0.130
3 Sc 0.440 0.259 0.667
4 Sc 0.674 0.705 0.753
5 Er 0.678 0.000 0.000
6 Tm 0.288 0.576 0.984
7 Sc 0.031 0.705 0.753
8 Sc 0.553 0.105 0.337
9 Tm 0.712 0.424 0.016
10 Sc 0.069 0.139 0.870
11 Tm 0.234 0.469 0.574
12 Er 0.322 0.000 0.000
13 Sc 0.560 0.741 0.333
14 Sc 0.181 0.741 0.333
15 Sc 0.447 0.895 0.663
16 Sc 0.969 0.295 0.247
17 Sc 0.326 0.295 0.247
18 Tm 0.766 0.531 0.426
19 Tm 0.000 0.000 0.500